Entry 1:
NaYGe | GGA-PBE | relaxed

```
NaYGe
1.0
2.421 1.398 8.475
-2.421 1.398 8.475
0.000 -2.795 8.475
Na Y Ge
2 2 2
direct
0.000 0.000 0.000 Na
0.268 0.268 0.268 Na
0.413 0.413 0.413 Y
0.829 0.829 0.829 Y
0.145 0.145 0.145 Ge
0.703 0.703 0.703 Ge
```

total magnetization = 0.00 μB/f.u.
VASP energy = -26.466 eV for the cell shown
calculated formation energy = -0.2775 eV per atom


Entry 2:
NaYGe | GGA-PBE | relaxed

```
NaYGe
1.0
3.414 0.000 0.000
0.000 3.414 0.000
0.000 0.000 13.689
Na Y Ge
2 2 2
direct
0.000 0.000 0.000 Na
0.500 0.500 0.223 Na
0.500 0.500 0.503 Y
0.500 0.500 0.786 Y
0.000 0.000 0.362 Ge
0.000 0.000 0.652 Ge
```

total magnetization = 0.00 μB/f.u.
VASP energy = -26.348 eV for the cell shown
calculated formation energy = -0.2579 eV per atom


Which formula does entry 1 have?
NaYGe


Copy entry 2 word for word.
NaYGe | GGA-PBE | relaxed

```
NaYGe
1.0
3.414 0.000 0.000
0.000 3.414 0.000
0.000 0.000 13.689
Na Y Ge
2 2 2
direct
0.000 0.000 0.000 Na
0.500 0.500 0.223 Na
0.500 0.500 0.503 Y
0.500 0.500 0.786 Y
0.000 0.000 0.362 Ge
0.000 0.000 0.652 Ge
```

total magnetization = 0.00 μB/f.u.
VASP energy = -26.348 eV for the cell shown
calculated formation energy = -0.2579 eV per atom